## MnCd2Re (GGA-PBE)

Data for a relaxed MnCd2Re crystal.

a b c (Å): 3.956 3.956 8.744
angles (deg): 90.00 90.00 90.00
Fractional positions:
1 Mn 0.000 0.000 0.000
2 Mn 0.500 0.500 0.500
3 Cd 0.000 0.500 0.250
4 Cd 0.000 0.500 0.750
5 Cd 0.500 0.000 0.250
6 Cd 0.500 0.000 0.750
7 Re 0.000 0.000 0.500
8 Re 0.500 0.500 0.000

Results
excess energy over the best structure of this formula in the dataset = 362.7 meV per atom
D(E_F) = 5.7 states/eV per cell
symmetry = I4/mmm, No. 139
M_tot = 6.81 μB/cell
formation energy = 0.60 eV/atom

=====

## AlTl2Ni (GGA-PBE)

Data for a relaxed AlTl2Ni crystal.

a b c (Å): 9.973 9.973 4.612
angles (deg): 90.00 90.00 90.00
Fractional positions:
1 Al 0.000 0.000 0.000
2 Al 0.000 0.500 0.250
3 Al 0.500 0.000 0.750
4 Al 0.500 0.500 0.500
5 Tl 0.007 0.250 0.625
6 Tl 0.250 0.507 0.875
7 Tl 0.250 0.993 0.375
8 Tl 0.493 0.250 0.125
9 Tl 0.507 0.750 0.125
10 Tl 0.750 0.007 0.375
11 Tl 0.750 0.493 0.875
12 Tl 0.993 0.750 0.625
13 Ni 0.000 0.000 0.500
14 Ni 0.000 0.500 0.750
15 Ni 0.500 0.000 0.250
16 Ni 0.500 0.500 0.000

Results
excess energy over the best structure of this formula in the dataset = 154.7 meV per atom
D(E_F) = 8.3 states/eV per cell
symmetry = I-42d, No. 122
M_tot = 0.00 μB/cell
formation energy = 0.18 eV/atom

=====

## KBaTa2 (GGA-PBE)

Data for a relaxed KBaTa2 crystal.

a b c (Å): 6.486 6.486 2.900
angles (deg): 90.00 90.00 90.00
Fractional positions:
1 K 0.000 0.000 0.000
2 Ba 0.500 0.500 0.000
3 Ta 0.000 0.500 0.500
4 Ta 0.500 0.000 0.500

Results
excess energy over the best structure of this formula in the dataset = 1225.6 meV per atom
D(E_F) = 5.8 states/eV per cell
symmetry = P4/mmm, No. 123
M_tot = 1.34 μB/cell
formation energy = 1.95 eV/atom

=====

## Pr6Ir3I2 (GGA-PBE)

Data for a relaxed Pr6Ir3I2 crystal.

a b c (Å): 7.361 7.361 8.547
angles (deg): 98.31 98.31 120.07
Fractional positions:
1 Pr 0.060 0.395 0.183
2 Pr 0.271 0.271 0.820
3 Pr 0.395 0.060 0.183
4 Pr 0.605 0.940 0.817
5 Pr 0.729 0.729 0.180
6 Pr 0.940 0.605 0.817
7 Ir 0.000 0.000 0.000
8 Ir 0.332 0.668 0.000
9 Ir 0.668 0.332 0.000
10 I 0.166 0.834 0.500
11 I 0.834 0.166 0.500

Results
formation energy (no corrections) = -0.78 eV/atom
D(E_F) = 6.2 states/eV per cell
symmetry = C2/m, No. 12
M_tot = 0.21 μB/cell

=====

## AgRh2Au2 (GGA-PBE)

Data for a relaxed AgRh2Au2 crystal.

a b c (Å): 7.841 7.841 2.844
angles (deg): 90.00 90.00 90.00
Fractional positions:
1 Ag 0.000 0.000 0.000
2 Ag 0.500 0.500 0.000
3 Rh 0.119 0.381 0.000
4 Rh 0.381 0.881 0.000
5 Rh 0.619 0.119 0.000
6 Rh 0.881 0.619 0.000
7 Au 0.179 0.679 0.500
8 Au 0.321 0.179 0.500
9 Au 0.679 0.821 0.500
10 Au 0.821 0.321 0.500

Results
excess energy over the best structure of this formula in the dataset = 0.0 meV per atom
D(E_F) = 15.4 states/eV per cell
symmetry = P4/mbm, No. 127
M_tot = 0.17 μB/cell
formation energy = 0.32 eV/atom

=====

## Y2AuSe2 (GGA-PBE)

Data for a relaxed Y2AuSe2 crystal.

a b c (Å): 7.979 7.979 3.605
angles (deg): 90.00 90.00 90.00
Fractional positions:
1 Y 0.163 0.337 0.000
2 Y 0.337 0.837 0.000
3 Y 0.663 0.163 0.000
4 Y 0.837 0.663 0.000
5 Au 0.000 0.000 0.500
6 Au 0.500 0.500 0.500
7 Se 0.138 0.638 0.500
8 Se 0.362 0.138 0.500
9 Se 0.638 0.862 0.500
10 Se 0.862 0.362 0.500

Results
formation energy (no corrections) = -1.26 eV/atom
excess energy over the best structure of this formula in the dataset = 79.4 meV per atom
D(E_F) = 3.7 states/eV per cell
symmetry = P4/mbm, No. 127
M_tot = 0.00 μB/cell

=====

## Sc5Cd12Pd3 (GGA-PBE)

Data for a relaxed Sc5Cd12Pd3 crystal.

a b c (Å): 14.209 14.209 14.209
angles (deg): 109.47 109.47 109.47
Fractional positions:
1 Sc 0.000 0.000 0.000
2 Sc 0.000 0.000 0.500
3 Sc 0.000 0.500 0.000
4 Sc 0.000 0.500 0.500
5 Sc 0.125 0.750 0.875
6 Sc 0.125 0.875 0.250
7 Sc 0.250 0.125 0.875
8 Sc 0.250 0.625 0.375
9 Sc 0.375 0.250 0.625
10 Sc 0.375 0.625 0.750
11 Sc 0.500 0.000 0.000
12 Sc 0.500 0.000 0.500
13 Sc 0.500 0.500 0.000
14 Sc 0.500 0.500 0.500
15 Sc 0.625 0.375 0.250
16 Sc 0.625 0.750 0.375
17 Sc 0.750 0.375 0.625
18 Sc 0.750 0.875 0.125
19 Sc 0.875 0.125 0.750
20 Sc 0.875 0.250 0.125
21 Cd 0.062 0.639 0.401
22 Cd 0.062 0.924 0.662
23 Cd 0.076 0.238 0.139
24 Cd 0.076 0.338 0.938
25 Cd 0.099 0.738 0.662
26 Cd 0.099 0.861 0.438
27 Cd 0.139 0.076 0.238
28 Cd 0.139 0.562 0.901
29 Cd 0.162 0.238 0.599
30 Cd 0.162 0.424 0.562
31 Cd 0.238 0.139 0.076
32 Cd 0.238 0.599 0.162
33 Cd 0.262 0.338 0.901
34 Cd 0.262 0.424 0.361
35 Cd 0.338 0.901 0.262
36 Cd 0.338 0.938 0.076
37 Cd 0.361 0.262 0.424
38 Cd 0.361 0.599 0.938
39 Cd 0.401 0.062 0.639
40 Cd 0.401 0.838 0.762
41 Cd 0.424 0.361 0.262
42 Cd 0.424 0.562 0.162
43 Cd 0.438 0.099 0.861
44 Cd 0.438 0.838 0.576
45 Cd 0.562 0.162 0.424
46 Cd 0.562 0.901 0.139
47 Cd 0.576 0.438 0.838
48 Cd 0.576 0.639 0.738
49 Cd 0.599 0.162 0.238
50 Cd 0.599 0.938 0.361
51 Cd 0.639 0.401 0.062
52 Cd 0.639 0.738 0.576
53 Cd 0.662 0.062 0.924
54 Cd 0.662 0.099 0.738
55 Cd 0.738 0.576 0.639
56 Cd 0.738 0.662 0.099
57 Cd 0.762 0.401 0.838
58 Cd 0.762 0.861 0.924
59 Cd 0.838 0.576 0.438
60 Cd 0.838 0.762 0.401
61 Cd 0.861 0.438 0.099
62 Cd 0.861 0.924 0.762
63 Cd 0.901 0.139 0.562
64 Cd 0.901 0.262 0.338
65 Cd 0.924 0.662 0.062
66 Cd 0.924 0.762 0.861
67 Cd 0.938 0.076 0.338
68 Cd 0.938 0.361 0.599
69 Pd 0.125 0.250 0.375
70 Pd 0.125 0.375 0.750
71 Pd 0.250 0.375 0.125
72 Pd 0.250 0.875 0.625
73 Pd 0.375 0.125 0.250
74 Pd 0.375 0.750 0.125
75 Pd 0.625 0.250 0.875
76 Pd 0.625 0.875 0.750
77 Pd 0.750 0.125 0.375
78 Pd 0.750 0.625 0.875
79 Pd 0.875 0.625 0.250
80 Pd 0.875 0.750 0.625

Results
D(E_F) = 79.6 states/eV per cell
symmetry = Ia-3d, No. 230
M_tot = 0.00 μB/cell
formation energy = 0.33 eV/atom

=====

## K2TbSbSe4 (GGA-PBE)

Data for a relaxed K2TbSbSe4 crystal.

a b c (Å): 7.381 4.234 8.049
angles (deg): 90.00 107.54 90.00
Fractional positions:
1 K 0.000 0.000 0.000
2 K 0.500 0.500 0.000
3 Tb 0.000 0.500 0.500
4 Sb 0.500 0.000 0.500
5 Se 0.234 0.000 0.705
6 Se 0.263 0.500 0.294
7 Se 0.737 0.500 0.706
8 Se 0.766 0.000 0.295

Results
formation energy (no corrections) = -1.23 eV/atom
symmetry = P2/m, No. 10
M_tot = 0.00 μB/cell

=====

## CoMo2As (GGA-PBE)

Data for a relaxed CoMo2As crystal.

a b c (Å): 2.813 2.813 25.589
angles (deg): 90.00 90.00 120.00
Fractional positions:
1 Co 0.000 0.000 0.000
2 Co 0.333 0.667 0.667
3 Co 0.667 0.333 0.333
4 Mo 0.000 0.000 0.508
5 Mo 0.000 0.000 0.747
6 Mo 0.333 0.667 0.175
7 Mo 0.333 0.667 0.414
8 Mo 0.667 0.333 0.081
9 Mo 0.667 0.333 0.841
10 As 0.000 0.000 0.261
11 As 0.333 0.667 0.927
12 As 0.667 0.333 0.594

Results
D(E_F) = 15.4 states/eV per cell
symmetry = R3m, No. 160
M_tot = 0.91 μB/cell
formation energy = 0.27 eV/atom

=====

## NdAgSn (GGA-PBE)

Data for a relaxed NdAgSn crystal.

a b c (Å): 4.818 4.818 7.653
angles (deg): 90.00 90.00 120.00
Fractional positions:
1 Nd 0.000 0.000 0.000
2 Nd 0.000 0.000 0.500
3 Ag 0.333 0.667 0.303
4 Ag 0.667 0.333 0.803
5 Sn 0.333 0.667 0.720
6 Sn 0.667 0.333 0.220

Results
D(E_F) = 0.7 states/eV per cell
symmetry = P6_3mc, No. 186
M_tot = 0.00 μB/cell
formation energy = -0.62 eV/atom

=====

## SmCd6Ag (GGA-PBE)

Data for a relaxed SmCd6Ag crystal.

a b c (Å): 6.196 4.849 6.457
angles (deg): 90.00 106.67 90.00
Fractional positions:
1 Sm 0.000 0.000 0.000
2 Cd 0.090 0.000 0.516
3 Cd 0.219 0.500 0.808
4 Cd 0.256 0.500 0.308
5 Cd 0.571 0.000 0.397
6 Cd 0.694 0.500 0.696
7 Cd 0.726 0.500 0.184
8 Ag 0.488 0.000 0.888

Results
D(E_F) = 4.5 states/eV per cell
symmetry = Pm, No. 6
M_tot = 0.00 μB/cell
formation energy = -0.13 eV/atom

=====

## RbPu2MgBr8 (GGA-PBE)

Data for a relaxed RbPu2MgBr8 crystal.

a b c (Å): 6.810 9.114 7.055
angles (deg): 90.00 93.25 90.00
Fractional positions:
1 Rb 0.000 0.000 0.000
2 Pu 0.500 0.260 0.500
3 Pu 0.500 0.740 0.500
4 Mg 0.000 0.500 0.000
5 Br 0.233 0.296 0.159
6 Br 0.233 0.704 0.159
7 Br 0.261 0.500 0.665
8 Br 0.275 0.000 0.621
9 Br 0.725 0.000 0.379
10 Br 0.739 0.500 0.335
11 Br 0.767 0.296 0.841
12 Br 0.767 0.704 0.841

Results
formation energy (no corrections) = -1.51 eV/atom
D(E_F) = 30.5 states/eV per cell
symmetry = P2/m, No. 10
M_tot = 11.00 μB/cell